# 1
DFT (PBE) results for a geometry-optimized LiAl2TeW structure.

a = 5.0007 Å, b = 5.0007 Å, c = 5.2227 Å
α = 90.00°, β = 90.00°, γ = 90.00°
Closest atoms and distances in Å follow each position.
Space group P4/mmm (No. 123)
Asymmetric unit:
Li1 0.0000 0.0000 0.0000 [1 per cell]  4 Te 3.54, 8 Al 3.62
Al1 0.0000 0.5000 0.5000 [2 per cell]  2 W 2.50
Te1 0.5000 0.5000 0.0000 [1 per cell]  2 W 2.61
W1 0.5000 0.5000 0.5000 [1 per cell]  4 Al 2.50, 2 Te 2.61

* total moment: 0.00 Bohr magnetons per cell
* raw total energy: -4.697 eV/atom
* E_form (uncorrected): 0.4014 eV per atom

# 2
DFT (PBE) results for a geometry-optimized Hf4AgTe8 structure.

a = 11.7893 Å, b = 11.7893 Å, c = 11.7893 Å
α = 90.00°, β = 90.00°, γ = 90.00°
Closest atoms and distances in Å follow each position.
Space group F-43m (No. 216)
Asymmetric unit:
Hf1 0.1186 0.1186 0.1186 [16 per cell]  6 Te 2.89-2.94
Ag1 0.0000 0.0000 0.5000 [4 per cell]  4 Te 2.72
Te1 0.1266 0.1266 0.8734 [16 per cell]  3 Hf 2.89
Te2 0.1333 0.1333 0.3667 [16 per cell]  1 Ag 2.72, 3 Hf 2.94

* total moment: 0.00 Bohr magnetons per cell
* raw total energy: -5.922 eV/atom
* E_form (uncorrected): -0.7068 eV per atom

# 3
DFT (PBE) results for a geometry-optimized BaWSe2Br structure.

a = 4.9674 Å, b = 4.9674 Å, c = 5.5207 Å
α = 90.00°, β = 90.00°, γ = 90.00°
Closest atoms and distances in Å follow each position.
Space group P4/mmm (No. 123)
Asymmetric unit:
Ba1 0.0000 0.0000 0.0000 [1 per cell]  4 Br 3.51, 8 Se 3.71
W1 0.5000 0.5000 0.5000 [1 per cell]  4 Se 2.48, 2 Br 2.76
Se1 0.0000 0.5000 0.5000 [2 per cell]  2 W 2.48
Br1 0.5000 0.5000 0.0000 [1 per cell]  2 W 2.76

* total moment: 0.00 Bohr magnetons per cell
* raw total energy: -5.374 eV/atom
* E_form (uncorrected): -0.6708 eV per atom

# 4
DFT (PBE) results for a geometry-optimized TbUTc structure.

a = 3.4487 Å, b = 3.4487 Å, c = 11.0925 Å
α = 90.00°, β = 90.00°, γ = 90.00°
Closest atoms and distances in Å follow each position.
Space group I4mm (No. 107)
Asymmetric unit:
Tb1 0.0000 0.0000 0.0000 [2 per cell]  5 Tc 3.29-3.34, 5 U 3.29-3.34, 4 Tb 3.45
U1 0.0000 0.0000 0.6989 [2 per cell]  4 Tc 2.69
Tc1 0.0000 0.0000 0.3012 [2 per cell]  4 U 2.69

* formation energy: 14.6 meV per atom
* total moment: 0.78 Bohr magnetons per cell
* raw total energy: -8.747 eV/atom

- raw total energy of number 3 (BaWSe2Br)?
  -5.374 eV/atom